1.
16
Lattice="1.8467 -6.2268 0.0000 1.8467 6.2268 0.0000 0.0000 0.0000 12.1569" Properties=species:S:1:pos:R:3 comment="PBE BaTh2FeN4, optimized geometry" e_form_raw_mev_per_atom=-1069 volume_a3_per_atom=17.474 dft_energy_ev_per_atom=-8.38 dos_ef_per_ev_fu=2.5 pbc="T T T"
Ba 1.8467 5.0266 9.1177
Ba 1.8467 -5.0266 3.0392
Th 1.8467 1.6536 6.7233
Th 1.8467 1.6536 11.5120
Th 1.8467 -1.6536 0.6449
Th 1.8467 -1.6536 5.4336
Fe 1.8467 4.0818 3.0392
Fe 1.8467 -4.0818 9.1177
N 0.0000 0.0000 0.0000
N 0.0000 0.0000 6.0784
N 1.8467 3.0637 1.3490
N 1.8467 3.0637 4.7295
N 1.8467 1.1541 9.1177
N 1.8467 -1.1541 3.0392
N 1.8467 -3.0637 7.4274
N 1.8467 -3.0637 10.8079

2.
4
Lattice="3.3335 0.0000 0.0000 0.0000 3.3335 0.0000 0.0000 0.0000 7.3660" Properties=species:S:1:pos:R:3 comment="PBE Sc2BeSb, optimized geometry" e_form_raw_mev_per_atom=-29 e_above_lowest_polymorph_ev_per_atom=0.4453 volume_a3_per_atom=20.463 dft_energy_ev_per_atom=-5.16 dos_ef_per_ev_fu=4.5 pbc="T T T"
Sc 0.0000 0.0000 0.0000
Sc 1.6667 1.6667 2.2846
Be 0.0000 0.0000 3.9614
Sb 1.6667 1.6667 5.2844

3.
4
Lattice="2.6776 1.5459 8.5731 -2.6776 1.5459 8.5731 0.0000 -3.0918 8.5731" Properties=species:S:1:pos:R:3 comment="PBE BaVTe2, optimized geometry" e_form_raw_mev_per_atom=-324 e_above_lowest_polymorph_ev_per_atom=0.4465 volume_a3_per_atom=53.229 dft_energy_ev_per_atom=-4.66 dos_ef_per_ev_fu=2.7 pbc="T T T"
Ba 0.0000 0.0000 0.0000
V 0.0000 0.0000 12.8597
Te 0.0000 0.0000 10.2733
Te 0.0000 0.0000 15.4461

4.
10
Lattice="4.6505 0.0000 0.0000 0.0000 4.4433 0.0000 -2.2588 0.0000 13.3425" Properties=species:S:1:pos:R:3 comment="PBE PmNd2Zn2, optimized geometry" e_above_lowest_polymorph_ev_per_atom=0.0822 volume_a3_per_atom=27.571 dft_energy_ev_per_atom=-3.52 e_form_ev_per_atom=-0.16 dos_ef_per_ev_fu=5.7 pbc="T T T"
Pm 0.0164 1.1108 3.5979
Pm 2.3753 3.3325 9.7446
Nd 0.0350 3.3325 6.2930
Nd 0.0673 1.1108 11.8787
Nd 2.3245 3.3325 1.4638
Nd 2.3568 1.1108 7.0495
Zn 0.0023 1.1108 0.6360
Zn 0.0353 1.1108 8.8731
Zn 2.3564 3.3325 4.4693
Zn 2.3895 3.3325 12.7065

5.
5
Lattice="-1.8676 1.8676 6.8509 1.8676 -1.8676 6.8509 1.8676 1.8676 -6.8509" Properties=species:S:1:pos:R:3 comment="PBE Ti2Hg2Mo, optimized geometry" e_above_lowest_polymorph_ev_per_atom=0.2564 volume_a3_per_atom=19.117 dft_energy_ev_per_atom=-4.79 e_form_ev_per_atom=0.66 dos_ef_per_ev_fu=4.4 pbc="T T T"
Ti 1.8676 0.0000 3.4254
Ti 0.0000 1.8676 3.4254
Hg 0.0000 0.0000 1.3476
Hg 0.0000 0.0000 12.3541
Mo 0.0000 0.0000 6.8509

6.
12
Lattice="8.4289 -2.6358 0.0000 8.4289 2.6358 0.0000 -1.7188 0.0000 9.0641" Properties=species:S:1:pos:R:3 comment="PBE KSmCuTe3, optimized geometry" e_form_raw_mev_per_atom=-828 volume_a3_per_atom=33.563 dft_energy_ev_per_atom=-4.05 dos_ef_per_ev_fu=1.1 pbc="T T T"
K 2.4439 0.0000 0.4099
K 12.6952 0.0000 8.6542
Sm 1.4815 0.0000 4.9212
Sm 13.6576 0.0000 4.1430
Cu 6.9906 0.0000 6.3176
Cu 8.1485 0.0000 2.7465
Te -1.2320 0.0000 6.5610
Te 4.3890 0.0000 6.1193
Te 5.5964 0.0000 2.2822
Te 9.5427 0.0000 6.7820
Te 10.7501 0.0000 2.9448
Te 16.3711 0.0000 2.5032

7.
6
Lattice="-1.6395 6.2494 2.2238 1.6395 -6.2494 2.2238 1.6395 6.2494 -2.2238" Properties=species:S:1:pos:R:3 comment="PBE MgPF, optimized geometry" e_form_raw_mev_per_atom=-1852 e_above_lowest_polymorph_ev_per_atom=0.0000 volume_a3_per_atom=15.190 dft_energy_ev_per_atom=-4.81 dos_ef_per_ev_fu=0.3 pbc="T T T"
Mg 0.0000 1.9726 0.0000
Mg 0.0000 10.5263 0.0000
P 0.0000 0.0000 1.7169
P 0.0000 6.2494 0.9928
F 1.6395 2.9684 0.6840
F 0.0000 3.2810 2.9078

8.
13
Lattice="5.6155 3.2421 4.5001 -5.6155 3.2421 4.5001 0.0000 -6.4842 4.5001" Properties=species:S:1:pos:R:3 comment="PBE CeNd4Sm8, optimized geometry" volume_a3_per_atom=37.813 dft_energy_ev_per_atom=-4.33 e_form_ev_per_atom=0.50 dos_ef_per_ev_fu=21.8 pbc="T T T"
Ce 0.0000 0.0000 0.0000
Nd -5.6155 0.0000 6.7501
Nd -2.8077 1.6210 2.2500
Nd 2.8077 1.6210 2.2500
Nd 0.0000 0.0000 6.7501
Sm -2.7192 -1.5699 7.7877
Sm 0.0000 0.0000 3.5102
Sm 0.0000 -3.1399 5.7126
Sm -2.7192 1.5699 5.7126
Sm 2.7192 -1.5699 7.7877
Sm 0.0000 3.1399 7.7877
Sm 0.0000 0.0000 9.9901
Sm 2.7192 1.5699 5.7126

9.
14
Lattice="3.2840 1.8960 7.9364 -3.2840 1.8960 7.9364 0.0000 -3.7920 7.9364" Properties=species:S:1:pos:R:3 comment="PBE Ce3TlH3, optimized geometry" e_above_lowest_polymorph_ev_per_atom=0.1049 volume_a3_per_atom=21.178 dft_energy_ev_per_atom=-4.58 dos_ef_per_ev_fu=18.0 pbc="T T T"
Ce -2.2225 0.0818 10.3743
Ce -1.1821 -1.8839 13.4350
Ce 1.0404 -1.9657 10.3743
Ce -1.0404 1.9657 13.4350
Ce 1.1821 1.8839 10.3743
Ce 2.2225 -0.0818 13.4350
Tl 0.0000 0.0000 7.9269
Tl 0.0000 0.0000 15.8823
H -1.1502 -1.8238 11.1256
H -2.1546 0.0842 12.6836
H -1.0043 1.9080 11.1257
H 1.0043 -1.9080 12.6836
H 2.1546 -0.0842 11.1257
H 1.1502 1.8238 12.6837

10.
5
Lattice="4.0298 0.0000 0.0000 0.0000 4.0298 0.0000 0.0000 0.0000 4.1868" Properties=species:S:1:pos:R:3 comment="PBE YBH2Au, optimized geometry" volume_a3_per_atom=13.598 dft_energy_ev_per_atom=-4.22 dos_ef_per_ev_fu=2.2 pbc="T T T"
Y 0.0000 0.0000 0.0000
B 2.0149 2.0149 2.0934
H 0.0000 2.0149 2.0934
H 2.0149 0.0000 2.0934
Au 2.0149 2.0149 0.0000